No. 1
Ho2Zr2Sc3, optimized geometry, DFT PBE; space group = P-1; density of states at the Fermi level = 1.49 states/eV per atom
1.0
-1.0578 -1.9994 2.4124
0.0718 -7.2127 -8.2138
3.3112 -9.6550 -2.0067
Zr Ho Sc
2 2 3
Direct
0.7255 0.5724 0.5606
0.2745 0.4276 0.4394
0.5584 0.8526 0.8656
0.4416 0.1474 0.1344
0.0000 0.0000 0.0000
0.1376 0.7045 0.7148
0.8624 0.2955 0.2852

=====

No. 2
HoZr2Sc4, optimized geometry, DFT PBE; offset from the most stable computed form = 38 meV/atom; space group = P1; density of states at the Fermi level = 1.52 states/eV per atom
1.0
7.9338 -0.1401 1.3757
-0.6941 8.4152 -2.3552
-2.1383 -6.1351 6.5151
Sc Zr Ho
8 4 2
Direct
0.5623 0.6405 0.6735
0.4975 0.6890 0.3585
0.8341 0.8719 0.3184
0.7642 0.2111 0.3052
0.8952 0.8586 0.6453
0.9629 0.7731 0.9272
0.2837 0.1104 0.6889
0.1843 0.3134 0.5453
0.6962 0.2643 0.9911
0.0430 0.4726 0.9686
0.6424 0.3113 0.6917
0.4381 0.7547 0.0842
0.3428 0.0349 0.0028
0.1033 0.4442 0.2993

=====

No. 3
Ho6ZrSc3, optimized geometry, DFT PBE; space group = Cmc2_1; density of states at the Fermi level = 1.28 states/eV per atom
1.0
-1.4922 0.6588 5.8602
-0.6449 -10.4359 1.0090
8.9888 5.1598 1.7088
Ho Zr Sc
12 2 6
Direct
0.3843 0.9473 0.0527
0.5394 0.6315 0.7008
0.0394 0.3685 0.2992
0.8641 0.4396 0.0354
0.0394 0.7008 0.6315
0.3641 0.5604 0.9646
0.1637 0.7005 0.2995
0.8641 0.9646 0.5604
0.3641 0.0354 0.4396
0.8843 0.0527 0.9473
0.5394 0.2992 0.3685
0.6637 0.2995 0.7005
0.1896 0.2161 0.7839
0.6896 0.7839 0.2161
0.4135 0.2967 0.0627
0.1137 0.3835 0.6165
0.9135 0.0627 0.2967
0.4135 0.9373 0.7033
0.9135 0.7033 0.9373
0.6137 0.6165 0.3835

=====

No. 4
HoZr2Sc, optimized geometry, DFT PBE; offset from the most stable computed form = 2 meV/atom; space group = P2/c; density of states at the Fermi level = 1.26 states/eV per atom
1.0
6.6871 0.0000 0.0000
0.0000 5.6061 -0.5151
0.0000 3.0314 10.4672
Zr Sc Ho
8 4 4
Direct
0.1153 0.3735 0.6286
0.1153 0.6265 0.8714
0.8943 0.1256 0.8782
0.8847 0.6265 0.3714
0.8847 0.3735 0.1286
0.1057 0.1256 0.3782
0.1057 0.8744 0.1218
0.8943 0.8744 0.6218
0.3575 0.1215 0.8752
0.3575 0.8785 0.6248
0.6425 0.1215 0.3752
0.6425 0.8785 0.1248
0.3653 0.3707 0.1252
0.3653 0.6293 0.3748
0.6347 0.6293 0.8748
0.6347 0.3707 0.6252

=====

No. 5
Ho5Zr2Sc12, optimized geometry, DFT PBE; space group = C2/m; density of states at the Fermi level = 1.61 states/eV per atom
1.0
7.1327 0.0000 0.0000
-3.5664 8.2722 3.7668
0.0000 0.7391 8.8652
Ho Sc Zr
5 12 2
Direct
0.6948 0.3896 0.8051
0.1929 0.3859 0.8070
0.8071 0.6141 0.1930
0.0000 0.0000 0.5000
0.3052 0.6104 0.1949
0.9106 0.3111 0.5298
0.5000 0.9999 0.3174
0.5996 0.6890 0.8411
0.0894 0.6890 0.8411
0.0894 0.6889 0.4702
0.5000 0.0001 0.6826
0.9998 0.9997 0.1789
0.4004 0.3110 0.1589
0.0002 0.0003 0.8211
0.4005 0.3111 0.5298
0.5995 0.6889 0.4702
0.9106 0.3110 0.1589
0.6828 0.0000 0.0000
0.3172 0.0000 0.0000

=====

No. 6
HoZrSc3, optimized geometry, DFT PBE; offset from the most stable computed form = 0 meV/atom; space group = C2/m; density of states at the Fermi level = 1.34 states/eV per atom
1.0
4.6027 0.0000 0.0000
-2.3014 8.4291 -0.3461
0.0000 -1.0335 6.5502
Sc Ho Zr
6 2 2
Direct
0.2023 0.4047 0.3408
0.9982 0.9965 0.2435
0.3951 0.7901 0.9522
0.0017 0.0034 0.7565
0.6049 0.2099 0.0478
0.7977 0.5953 0.6592
0.3979 0.7958 0.4445
0.6021 0.2042 0.5555
0.2043 0.4086 0.8653
0.7957 0.5914 0.1347

=====

No. 7
HoZr4Sc15, optimized geometry, DFT PBE; space group = P4/mmm; density of states at the Fermi level = 1.68 states/eV per atom
1.0
4.5773 0.0000 0.0000
0.0000 4.5773 0.0000
0.0000 0.0000 23.0692
Sc Zr Ho
15 4 1
Direct
0.5000 0.0000 0.1070
0.5000 0.5000 0.2036
0.5000 0.0000 0.6968
0.0000 0.5000 0.8930
0.0000 0.5000 0.6968
0.0000 0.5000 0.5000
0.0000 0.5000 0.3032
0.5000 0.5000 0.0000
0.5000 0.5000 0.5989
0.0000 0.5000 0.1070
0.5000 0.0000 0.5000
0.5000 0.5000 0.7964
0.5000 0.0000 0.8930
0.5000 0.0000 0.3032
0.5000 0.5000 0.4011
0.0000 0.0000 0.4015
0.0000 0.0000 0.5985
0.0000 0.0000 0.7977
0.0000 0.0000 0.2023
0.0000 0.0000 0.0000

=====

No. 8
HoZr2Sc5, optimized geometry, DFT PBE; space group = Immm; density of states at the Fermi level = 1.45 states/eV per atom
1.0
-1.7752 1.8760 -1.9964
1.8928 -3.0221 -7.1921
-6.2944 -4.7421 -1.5281
Sc Ho Zr
5 1 2
Direct
0.6373 0.1342 0.5912
0.3627 0.4088 0.8658
0.0000 0.5000 0.5000
0.6373 0.5912 0.1342
0.3627 0.8658 0.4088
0.0000 0.0000 0.0000
0.2567 0.2433 0.2433
0.7433 0.7567 0.7567

=====

No. 9
HoZr2Sc8, optimized geometry, DFT PBE; offset from the most stable computed form = 115 meV/atom; space group = C2/m; density of states at the Fermi level = 1.14 states/eV per atom
1.0
5.1316 1.7272 0.0000
2.7174 7.9737 0.0000
1.3587 3.9869 7.5855
Sc Zr Ho
8 2 1
Direct
0.8006 0.0978 0.2553
0.5000 0.7922 0.4156
0.8006 0.3531 0.7447
0.1994 0.9022 0.7447
0.5000 0.2078 0.5844
0.2785 0.4534 0.0000
0.7215 0.5466 0.0000
0.1994 0.6469 0.2553
0.0000 0.3087 0.3825
0.0000 0.6913 0.6175
0.5000 0.0000 0.0000

=====

No. 10
HoZr4Sc4, optimized geometry, DFT PBE; space group = C2/m; density of states at the Fermi level = 1.38 states/eV per atom
1.0
-8.2546 -1.6226 -5.9119
7.8834 -3.1731 5.7881
-8.4763 0.5219 5.2001
Ho Sc Zr
2 8 8
Direct
0.2500 0.2500 0.7500
0.7500 0.7500 0.2500
0.1332 0.3669 0.2299
0.3668 0.1332 0.2701
0.8668 0.6331 0.7701
0.5811 0.9190 0.4705
0.9189 0.5810 0.0295
0.6332 0.8668 0.7299
0.4189 0.0810 0.5295
0.0811 0.4190 0.9705
0.1978 0.3022 0.4925
0.0377 0.4623 0.6794
0.4622 0.0377 0.8206
0.8022 0.6978 0.5075
0.9623 0.5377 0.3206
0.6978 0.8022 0.9925
0.5378 0.9623 0.1794
0.3022 0.1978 0.0075

=====

No. 11
HoZrSc, optimized geometry, DFT PBE; offset from the most stable computed form = 161 meV/atom; space group = Pmmn; density of states at the Fermi level = 1.43 states/eV per atom
1.0
-1.9472 -0.7950 2.3669
1.6724 -4.9913 -0.3007
6.8765 1.9244 6.3034
Zr Ho Sc
2 2 2
Direct
0.5000 0.5000 0.5547
0.0000 0.0000 0.4453
0.0000 0.0000 0.0686
0.5000 0.5000 0.9314
0.0000 0.5000 0.2667
0.5000 0.0000 0.7333

=====

No. 12
Ho7Zr2Sc2, optimized geometry, DFT PBE; space group = C2/m; density of states at the Fermi level = 1.54 states/eV per atom
1.0
8.1125 0.8716 1.2578
0.2250 6.2188 0.9266
0.2250 -1.3163 6.1481
Sc Ho Zr
2 7 2
Direct
0.5000 0.3266 0.6734
0.5000 0.6734 0.3266
0.8104 0.8935 0.5253
0.1896 0.1065 0.4747
0.5784 0.1622 0.1622
0.0000 0.0000 0.0000
0.1896 0.4747 0.1065
0.8104 0.5253 0.8935
0.4216 0.8378 0.8378
0.8334 0.3725 0.3725
0.1666 0.6275 0.6275

=====

| no. | formation energy from the elements (eV per atom) | E_tot (eV/f.u.) | total magnetic moment (Bohr magnetons per cell) |
| --- | --- | --- | --- |
| 1 | 0.055 | -44.86 | 0.0 |
| 2 | 0.065 | -46.55 | 0.0 |
| 3 | 0.161 | -53.39 | 0.0 |
| 4 | 0.057 | -27.78 | 0.0 |
| 5 | 0.161 | -112.91 | 0.0 |
| 6 | 0.039 | -31.93 | 0.0 |
| 7 | 0.034 | -133.07 | 0.0 |
| 8 | 0.008 | -53.27 | 0.0 |
| 9 | 0.149 | -70.69 | 0.0 |
| 10 | 0.082 | -63.36 | 0.0 |
| 11 | 0.205 | -18.84 | 0.0 |
| 12 | 0.095 | -60.76 | 0.0 |